Entry from Alexandria via LeMat-Bulk: an optimized crystal structure of Te4Au2Br (PBE).

Unit cell a=8.623 b=9.412 c=8.734 alpha=125.00 beta=96.92 gamma=118.47
Positions (direct):
Te (0.835, 0.248, 0.308)
Te (0.740, 0.128, 0.688)
Te (0.414, 0.500, 0.192)
Te (0.898, 0.597, 0.178)
Te (0.350, 0.150, 0.322)
Te (0.229, 0.133, 0.713)
Te (0.512, 0.626, 0.815)
Te (0.022, 0.619, 0.788)
Au (0.625, 0.875, 0.251)
Au (0.626, 0.376, 0.751)
Au (0.126, 0.377, 0.751)
Au (0.624, 0.373, 0.250)
Br (0.897, 0.908, 0.796)
Br (0.352, 0.839, 0.697)

- raw formation energy (eV/atom) = -0.028
- magnetic moment (μB/f.u.) = 0.0
- V (Å³/cell) = 427
- VASP energy (eV/atom) = -3.00
- calculated density (g/cm³) = 7.6
- D(E_F) (states/eV per cell) = 4.72
- SG = P1



Entry from Alexandria via LeMat-Bulk: an optimized crystal structure of NbCrC3 (PBE).

Unit cell a=3.734 b=3.734 c=3.734 alpha=90.00 beta=90.00 gamma=90.00
Positions (direct):
Nb (0.500, 0.500, 0.500)
C (0.500, 0.000, 0.000)
C (0.000, 0.500, 0.000)
C (0.000, 0.000, 0.500)
Cr (0.000, 0.000, 0.000)

- magnetic moment (μB/f.u.) = 0.0
- V (Å³/cell) = 52
- distance to the lowest polymorph of the same formula (meV per atom) = 0
- VASP energy (eV/atom) = -8.05
- calculated density (g/cm³) = 5.8
- D(E_F) (states/eV per cell) = 2.87
- SG = Pm-3m
- calculated formation energy (meV per atom) = 1420



Entry from Alexandria via LeMat-Bulk: an optimized crystal structure of YCoSe (PBE).

Unit cell a=4.956 b=4.956 c=4.956 alpha=135.18 beta=135.18 gamma=65.25
Each line ends with the local moment (μB).
Positions (direct):
Co (0.034, 0.034, 0.000)  0.14
Y (0.654, 0.654, 0.000)  -0.03
Se (0.311, 0.311, 0.000)  0.01

- raw formation energy (eV/atom) = -0.420
- magnetic moment (μB/f.u.) = 0.1
- V (Å³/cell) = 60
- VASP energy (eV/atom) = -6.10
- calculated density (g/cm³) = 6.3
- D(E_F) (states/eV per cell) = 2.47
- SG = I4mm



Entry from Alexandria via LeMat-Bulk: an optimized crystal structure of ZrHgW2 (PBE).

Unit cell a=10.313 b=10.313 c=10.313 alpha=16.26 beta=16.26 gamma=16.26
Positions (direct):
Zr (0.250, 0.250, 0.250)
W (0.498, 0.498, 0.498)
W (0.002, 0.002, 0.002)
Hg (0.750, 0.750, 0.750)

- magnetic moment (μB/f.u.) = 0.0
- V (Å³/cell) = 75
- VASP energy (eV/atom) = -8.03
- calculated density (g/cm³) = 14.6
- D(E_F) (states/eV per cell) = 4.63
- SG = R-3m
- calculated formation energy (meV per atom) = 660



Entry from Alexandria via LeMat-Bulk: an optimized crystal structure of SmV2Fe10 (PBE).

Unit cell a=6.455 b=6.455 c=6.455 alpha=137.48 beta=97.96 gamma=97.15
Each line ends with the local moment (μB).
Positions (direct):
Fe (0.640, 0.000, 0.640)  2.38
Fe (0.230, 0.730, 0.500)  2.03
Fe (0.000, 0.500, 0.000)  1.73
Fe (0.000, 0.000, 0.500)  1.73
Fe (0.500, 0.500, 0.500)  1.73
Fe (0.500, 0.000, 0.000)  1.73
Fe (0.228, 0.500, 0.728)  2.07
Fe (0.770, 0.270, 0.500)  2.03
Fe (0.360, 0.000, 0.360)  2.38
Fe (0.772, 0.500, 0.272)  2.07
V (0.359, 0.359, 0.000)  -1.06
V (0.641, 0.641, 0.000)  -1.06
Sm (0.000, 0.000, 0.000)  -0.23

- magnetic moment (μB/f.u.) = 16.8
- V (Å³/cell) = 169
- VASP energy (eV/atom) = -8.32
- calculated density (g/cm³) = 7.9
- D(E_F) (states/eV per cell) = 11.38
- SG = Immm
- calculated formation energy (meV per atom) = -47



Entry from Alexandria via LeMat-Bulk: an optimized crystal structure of LaCeTh3 (PBE).

Unit cell a=3.560 b=3.560 c=29.108 alpha=90.00 beta=90.00 gamma=120.00
Positions (direct):
La (0.333, 0.667, 0.723)
La (0.667, 0.333, 0.223)
Th (0.667, 0.333, 0.621)
Th (0.000, 0.000, 0.828)
Th (0.333, 0.667, 0.121)
Th (0.333, 0.667, 0.427)
Th (0.667, 0.333, 0.927)
Th (0.000, 0.000, 0.328)
Ce (0.000, 0.000, 0.526)
Ce (0.000, 0.000, 0.026)

- magnetic moment (μB/f.u.) = 0.0
- V (Å³/cell) = 320
- VASP energy (eV/atom) = -6.58
- calculated density (g/cm³) = 10.1
- D(E_F) (states/eV per cell) = 18.36
- SG = P6_3mc
- calculated formation energy (meV per atom) = 45



Entry from Alexandria via LeMat-Bulk: an optimized crystal structure of LuMgTlIr (PBE).

Unit cell a=4.853 b=4.853 c=4.853 alpha=60.00 beta=60.00 gamma=60.00
Positions (direct):
Mg (0.500, 0.500, 0.500)
Lu (0.000, 0.000, 0.000)
Ir (0.750, 0.750, 0.750)
Tl (0.250, 0.250, 0.250)

- magnetic moment (μB/f.u.) = 0.0
- V (Å³/cell) = 81
- VASP energy (eV/atom) = -4.65
- calculated density (g/cm³) = 12.2
- D(E_F) (states/eV per cell) = 3.29
- SG = F-43m
- calculated formation energy (meV per atom) = -312



Entry from Alexandria via LeMat-Bulk: an optimized crystal structure of PaTiRu2 (PBE).

Unit cell a=3.109 b=3.109 c=7.063 alpha=90.00 beta=90.00 gamma=90.00
Positions (direct):
Pa (0.500, 0.500, 0.500)
Ru (0.000, 0.000, 0.787)
Ru (0.000, 0.000, 0.213)
Ti (0.500, 0.500, 0.000)

- magnetic moment (μB/f.u.) = 0.0
- V (Å³/cell) = 68
- distance to the lowest polymorph of the same formula (meV per atom) = 0
- VASP energy (eV/atom) = -9.48
- calculated density (g/cm³) = 11.7
- D(E_F) (states/eV per cell) = 4.85
- SG = P4/mmm
- calculated formation energy (meV per atom) = -498



Entry from Alexandria via LeMat-Bulk: an optimized crystal structure of Ba2Li4Zn (PBE).

Unit cell a=5.183 b=5.183 c=9.718 alpha=74.53 beta=74.53 gamma=90.00
Positions (direct):
Ba (0.350, 0.350, 0.300)
Ba (0.650, 0.650, 0.700)
Zn (0.000, 0.000, 0.000)
Li (0.500, 0.000, 0.000)
Li (0.139, 0.139, 0.722)
Li (0.000, 0.500, 0.000)
Li (0.861, 0.861, 0.278)

- magnetic moment (μB/f.u.) = 0.0
- V (Å³/cell) = 242
- VASP energy (eV/atom) = -1.75
- calculated density (g/cm³) = 2.5
- D(E_F) (states/eV per cell) = 5.25
- SG = I4/mmm
- calculated formation energy (meV per atom) = 76



Entry from Alexandria via LeMat-Bulk: an optimized crystal structure of Li4CuAu7 (PBE).

Unit cell a=4.978 b=5.399 c=8.922 alpha=75.49 beta=59.93 gamma=80.45
Positions (direct):
Au (0.500, 0.000, 0.000)
Au (0.918, 0.831, 0.336)
Au (0.178, 0.503, 0.083)
Au (0.247, 0.698, 0.559)
Au (0.082, 0.169, 0.664)
Au (0.753, 0.302, 0.441)
Au (0.822, 0.497, 0.917)
Cu (0.000, 0.000, 0.000)
Li (0.609, 0.866, 0.692)
Li (0.456, 0.376, 0.764)
Li (0.544, 0.624, 0.236)
Li (0.391, 0.134, 0.308)

- magnetic moment (μB/f.u.) = 0.0
- V (Å³/cell) = 201
- distance to the lowest polymorph of the same formula (meV per atom) = 0
- VASP energy (eV/atom) = -3.20
- calculated density (g/cm³) = 12.2
- D(E_F) (states/eV per cell) = 2.31
- SG = P-1
- calculated formation energy (meV per atom) = -309



Entry from Alexandria via LeMat-Bulk: an optimized crystal structure of TaCo2Ni (PBE).

Unit cell a=3.521 b=2.730 c=5.898 alpha=62.45 beta=90.00 gamma=90.00
Each line ends with the local moment (μB).
Positions (direct):
Ni (0.000, 0.517, 0.483)  0.10
Co (0.500, 0.258, 0.242)  1.40
Co (0.000, 0.977, 0.023)  0.93
Ta (0.500, 0.748, 0.752)  -0.11

- magnetic moment (μB/f.u.) = 2.2
- V (Å³/cell) = 50
- distance to the lowest polymorph of the same formula (meV per atom) = 189
- VASP energy (eV/atom) = -8.05
- calculated density (g/cm³) = 11.8
- D(E_F) (states/eV per cell) = 3.34
- SG = Pmm2
- calculated formation energy (meV per atom) = -93



Entry from Alexandria via LeMat-Bulk: an optimized crystal structure of Pr4Tl2Cd3 (PBE).

Unit cell a=5.355 b=5.354 c=10.587 alpha=90.05 beta=90.00 gamma=59.99
Each line ends with the local moment (μB).
Positions (direct):
Pr (0.333, 0.333, 0.115)  0.09
Pr (0.000, 0.000, 0.667)  0.03
Pr (0.667, 0.667, 0.885)  0.09
Pr (0.000, 0.000, 0.333)  0.03
Cd (0.667, 0.667, 0.525)  0.00
Cd (0.333, 0.333, 0.475)  0.00
Cd (0.000, 0.000, 0.000)  0.01
Tl (0.333, 0.333, 0.787)  0.00
Tl (0.667, 0.667, 0.213)  0.00

- magnetic moment (μB/f.u.) = 0.6
- V (Å³/cell) = 263
- VASP energy (eV/atom) = -3.24
- calculated density (g/cm³) = 8.3
- D(E_F) (states/eV per cell) = 11.16
- SG = C2/m
- calculated formation energy (meV per atom) = -287



Entry from Alexandria via LeMat-Bulk: an optimized crystal structure of CaCd6Pd12 (PBE).

Unit cell a=7.186 b=7.186 c=7.186 alpha=101.74 beta=101.74 gamma=101.74
Positions (direct):
Cd (0.175, 0.175, 0.443)
Cd (0.443, 0.175, 0.175)
Cd (0.825, 0.557, 0.825)
Cd (0.557, 0.825, 0.825)
Cd (0.175, 0.443, 0.175)
Cd (0.825, 0.825, 0.557)
Pd (0.259, 0.000, 0.741)
Pd (0.741, 0.000, 0.259)
Pd (0.406, 0.406, 0.818)
Pd (0.741, 0.259, 0.000)
Pd (0.594, 0.182, 0.594)
Pd (0.259, 0.741, 0.000)
Pd (0.000, 0.259, 0.741)
Pd (0.000, 0.741, 0.259)
Pd (0.594, 0.594, 0.182)
Pd (0.182, 0.594, 0.594)
Pd (0.406, 0.818, 0.406)
Pd (0.818, 0.406, 0.406)
Ca (0.000, 0.000, 0.000)

- magnetic moment (μB/f.u.) = 0.0
- V (Å³/cell) = 344
- VASP energy (eV/atom) = -3.87
- calculated density (g/cm³) = 9.6
- D(E_F) (states/eV per cell) = 10.84
- SG = R-3m
- calculated formation energy (meV per atom) = -195



Entry from Alexandria via LeMat-Bulk: an optimized crystal structure of Re3Br2 (PBE).

Unit cell a=11.110 b=11.110 c=11.110 alpha=15.38 beta=15.38 gamma=15.38
Positions (direct):
Re (0.803, 0.803, 0.803)
Re (0.000, 0.000, 0.000)
Re (0.197, 0.197, 0.197)
Br (0.604, 0.604, 0.604)
Br (0.396, 0.396, 0.396)

- raw formation energy (eV/atom) = 0.970
- magnetic moment (μB/f.u.) = 0.0
- V (Å³/cell) = 84
- VASP energy (eV/atom) = -7.17
- calculated density (g/cm³) = 14.2
- D(E_F) (states/eV per cell) = 3.58
- SG = R-3m



Entry from Alexandria via LeMat-Bulk: an optimized crystal structure of Sc2Ga2Rh (PBE).

Unit cell a=6.758 b=6.758 c=3.907 alpha=90.00 beta=90.00 gamma=90.00
Positions (direct):
Sc (0.172, 0.672, 0.500)
Sc (0.672, 0.828, 0.500)
Sc (0.828, 0.328, 0.500)
Sc (0.328, 0.172, 0.500)
Ga (0.633, 0.133, 0.000)
Ga (0.133, 0.367, 0.000)
Ga (0.867, 0.633, 0.000)
Ga (0.367, 0.867, 0.000)
Rh (0.000, 0.000, 0.000)
Rh (0.500, 0.500, 0.000)

- magnetic moment (μB/f.u.) = 0.0
- V (Å³/cell) = 178
- distance to the lowest polymorph of the same formula (meV per atom) = 13
- VASP energy (eV/atom) = -5.94
- calculated density (g/cm³) = 6.2
- D(E_F) (states/eV per cell) = 4.51
- SG = P4/mbm
- calculated formation energy (meV per atom) = -731



Entry from Alexandria via LeMat-Bulk: an optimized crystal structure of Ti12Ga6Co (PBE).

Unit cell a=6.716 b=6.716 c=6.716 alpha=89.51 beta=89.51 gamma=89.51
Positions (direct):
Ti (0.142, 0.375, 0.055)
Ti (0.945, 0.858, 0.625)
Ti (0.375, 0.055, 0.142)
Ti (0.055, 0.142, 0.375)
Ti (0.519, 0.440, 0.807)
Ti (0.625, 0.945, 0.858)
Ti (0.440, 0.807, 0.519)
Ti (0.560, 0.193, 0.481)
Ti (0.858, 0.625, 0.945)
Ti (0.807, 0.519, 0.440)
Ti (0.481, 0.560, 0.193)
Ti (0.193, 0.481, 0.560)
Ga (0.264, 0.119, 0.747)
Ga (0.747, 0.264, 0.119)
Ga (0.736, 0.881, 0.253)
Ga (0.119, 0.747, 0.264)
Ga (0.881, 0.253, 0.736)
Ga (0.253, 0.736, 0.881)
Co (0.000, 0.000, 0.000)

- magnetic moment (μB/f.u.) = 0.0
- V (Å³/cell) = 303
- VASP energy (eV/atom) = -6.59
- calculated density (g/cm³) = 5.8
- D(E_F) (states/eV per cell) = 23.45
- SG = R-3
- calculated formation energy (meV per atom) = -271



Entry from Alexandria via LeMat-Bulk: an optimized crystal structure of RbP4Pd4 (PBE).

Unit cell a=4.123 b=9.212 c=9.212 alpha=90.00 beta=90.00 gamma=90.00
Positions (direct):
P (0.929, 0.673, 0.219)
P (0.071, 0.219, 0.327)
P (0.429, 0.281, 0.173)
P (0.571, 0.173, 0.719)
P (0.071, 0.781, 0.673)
P (0.929, 0.327, 0.781)
P (0.429, 0.719, 0.827)
P (0.571, 0.827, 0.281)
Pd (0.590, 0.073, 0.343)
Pd (0.410, 0.657, 0.073)
Pd (0.910, 0.427, 0.157)
Pd (0.590, 0.927, 0.657)
Pd (0.910, 0.573, 0.843)
Pd (0.090, 0.157, 0.573)
Pd (0.410, 0.343, 0.927)
Pd (0.090, 0.843, 0.427)
Rb (0.500, 0.500, 0.500)
Rb (0.000, 0.000, 0.000)

- magnetic moment (μB/f.u.) = 0.0
- V (Å³/cell) = 350
- VASP energy (eV/atom) = -5.12
- calculated density (g/cm³) = 6.0
- D(E_F) (states/eV per cell) = 8.63
- SG = P4_2/n
- calculated formation energy (meV per atom) = -298



Entry from Alexandria via LeMat-Bulk: an optimized crystal structure of TbTaBiO6 (PBE).

Unit cell a=5.048 b=5.048 c=10.174 alpha=90.00 beta=90.00 gamma=90.00
Positions (direct):
O (0.283, 0.283, 0.334)
O (0.316, 0.316, 0.684)
O (0.217, 0.783, 0.834)
O (0.816, 0.184, 0.483)
O (0.717, 0.717, 0.334)
O (0.684, 0.684, 0.983)
O (0.783, 0.217, 0.834)
O (0.184, 0.816, 0.483)
O (0.816, 0.184, 0.184)
O (0.684, 0.684, 0.684)
O (0.184, 0.816, 0.184)
O (0.316, 0.316, 0.983)
Ta (0.500, 0.500, 0.832)
Ta (0.000, 0.000, 0.332)
Tb (0.500, 0.500, 0.167)
Tb (0.000, 0.000, 0.667)
Bi (0.000, 0.000, 0.997)
Bi (0.500, 0.500, 0.497)

- raw formation energy (eV/atom) = -2.416
- magnetic moment (μB/f.u.) = 0.0
- V (Å³/cell) = 259
- VASP energy (eV/atom) = -7.98
- calculated density (g/cm³) = 8.3
- D(E_F) (states/eV per cell) = 6.36
- SG = P4_2nm



Entry from Alexandria via LeMat-Bulk: an optimized crystal structure of Ac12TbPr7 (PBE).

Unit cell a=12.283 b=12.283 c=12.283 alpha=116.75 beta=116.75 gamma=116.75
Positions (direct):
Ac (0.430, 0.430, 0.083)
Ac (0.500, 0.088, 0.912)
Ac (0.500, 0.912, 0.088)
Ac (0.088, 0.912, 0.500)
Ac (0.083, 0.430, 0.430)
Ac (0.088, 0.500, 0.912)
Ac (0.430, 0.083, 0.430)
Ac (0.912, 0.088, 0.500)
Ac (0.570, 0.917, 0.570)
Ac (0.917, 0.570, 0.570)
Ac (0.912, 0.500, 0.088)
Ac (0.570, 0.570, 0.917)
Pr (0.355, 0.111, 0.111)
Pr (0.645, 0.889, 0.889)
Pr (0.111, 0.111, 0.355)
Pr (0.500, 0.500, 0.500)
Pr (0.111, 0.355, 0.111)
Pr (0.889, 0.645, 0.889)
Pr (0.889, 0.889, 0.645)
Tb (0.000, 0.000, 0.000)

- magnetic moment (μB/f.u.) = 0.0
- V (Å³/cell) = 849
- distance to the lowest polymorph of the same formula (meV per atom) = 0
- VASP energy (eV/atom) = -4.19
- calculated density (g/cm³) = 7.6
- D(E_F) (states/eV per cell) = 26.65
- SG = R-3m
- calculated formation energy (meV per atom) = 179



Entry from Alexandria via LeMat-Bulk: an optimized crystal structure of GaSiI2N (PBE).

Unit cell a=5.830 b=5.830 c=3.617 alpha=90.00 beta=90.00 gamma=90.00
Each line ends with the local moment (μB).
Positions (direct):
Ga (0.000, 0.000, 0.000)  -0.02
Si (0.500, 0.500, 0.500)  -0.04
I (0.000, 0.500, 0.000)  0.04
I (0.500, 0.000, 0.000)  0.04
N (0.000, 0.000, 0.500)  0.35

- raw formation energy (eV/atom) = 0.782
- magnetic moment (μB/f.u.) = 0.5
- V (Å³/cell) = 123
- distance to the lowest polymorph of the same formula (meV per atom) = 637
- VASP energy (eV/atom) = -3.19
- calculated density (g/cm³) = 4.9
- D(E_F) (states/eV per cell) = 3.27
- SG = P4/mmm